(one)
VASP calculation (PBE) on a relaxed Mg3ZrZn crystal.

Cell: 4.8574 4.8574 4.8574 Å, 90.00 90.00 90.00°
Closest atoms and distances in Å follow each position.
Sites, in units of the cell vectors:
1 Zn 0.0000 0.0000 0.0000  6 Mg 2.43
2 Mg 0.0000 0.5000 0.0000  2 Zn 2.43
3 Mg 0.0000 0.0000 0.5000  2 Zn 2.43
4 Mg 0.5000 0.0000 0.0000  2 Zn 2.43
5 Zr 0.5000 0.5000 0.5000  12 Mg 3.43

Properties
Crystal system ... cubic

---

(two)
VASP calculation (PBE) on a relaxed Mg3ZrZn crystal.

Cell: 5.7768 5.7768 5.7768 Å, 90.00 90.00 90.00°
Closest atoms and distances in Å follow each position.
Sites, in units of the cell vectors:
1 Zn 0.5000 0.5000 0.5000  12 Mg 4.08
2 Mg 0.0000 0.5000 0.0000  2 Zr 2.89
3 Mg 0.5000 0.0000 0.0000  2 Zr 2.89
4 Mg 0.0000 0.0000 0.5000  2 Zr 2.89
5 Zr 0.0000 0.0000 0.0000  6 Mg 2.89

Properties
Crystal system ... cubic

---

Tell me which of them is the most stable. Sure, it is (one).

---

(one)
VASP calculation (PBE) on a relaxed MgZr6Zn crystal.

Cell: 7.8993 7.9007 5.5804 Å, 44.97 44.96 59.95°
Closest atoms and distances in Å follow each position.
Sites, in units of the cell vectors:
1 Mg 0.5000 0.5000 0.5000  12 Zr 3.12-3.13
2 Zr 0.0012 0.4992 0.7463  2 Zr 2.75-2.83
3 Zr 0.7534 0.9996 0.7479  2 Zr 2.75-2.83
4 Zr 0.4997 0.2467 0.2543  2 Zr 2.75-2.83
5 Zr 0.2466 0.0004 0.2521  2 Zr 2.75-2.83
6 Zr 0.9988 0.5008 0.2537  2 Zr 2.75-2.83
7 Zr 0.5003 0.7533 0.7457  2 Zr 2.75-2.83
8 Zn 0.0000 0.0000 0.0000  12 Zr 3.11

Properties
Crystal system ... trigonal

---

(two)
VASP calculation (PBE) on a relaxed MgZr6Zn crystal.

Cell: 4.4215 4.4215 8.8317 Å, 90.00 90.00 90.00°
Closest atoms and distances in Å follow each position.
Sites, in units of the cell vectors:
1 Mg 0.0000 0.0000 0.0000  12 Zr 3.13-3.17
2 Zr 0.5000 0.5000 0.0000  4 Mg 3.13, 8 Zr 3.17
3 Zr 0.5000 0.5000 0.5000  8 Zr 3.08, 4 Zn 3.13
4 Zr 0.5000 0.0000 0.2571  2 Zn 3.08, 8 Zr 3.08-3.17, 2 Mg 3.17
5 Zr 0.5000 0.0000 0.7429  8 Zr 3.08-3.17, 2 Zn 3.08, 2 Mg 3.17
6 Zr 0.0000 0.5000 0.2571  2 Zn 3.08, 8 Zr 3.08-3.17, 2 Mg 3.17
7 Zr 0.0000 0.5000 0.7429  8 Zr 3.08-3.17, 2 Zn 3.08, 2 Mg 3.17
8 Zn 0.0000 0.0000 0.5000  12 Zr 3.08-3.13

Properties
Crystal system ... tetragonal

---

Tell me which of them is the most stable. Sure, it is (two).

---

(one)
VASP calculation (PBE) on a relaxed MgZr2Zn6 crystal.

Cell: 5.7590 5.5545 5.5545 Å, 59.94 89.95 89.95°
Closest atoms and distances in Å follow each position.
Sites, in units of the cell vectors:
1 Mg 0.0000 0.0000 0.0000  6 Zn 2.60
2 Zr 0.8734 0.6668 0.6668  9 Zn 3.03-3.05, 3 Mg 3.29
3 Zr 0.1266 0.3332 0.3332  9 Zn 3.03-3.05, 3 Mg 3.29
4 Zn 0.3367 0.3592 0.8203  4 Zn 2.55-2.56, 1 Mg 2.60
5 Zn 0.3369 0.8202 0.8202  4 Zn 2.55-2.56, 1 Mg 2.60
6 Zn 0.3367 0.8203 0.3592  4 Zn 2.55-2.56, 1 Mg 2.60
7 Zn 0.6633 0.6408 0.1797  4 Zn 2.55-2.56, 1 Mg 2.60
8 Zn 0.6631 0.1798 0.1798  4 Zn 2.55-2.56, 1 Mg 2.60
9 Zn 0.6633 0.1797 0.6408  4 Zn 2.55-2.56, 1 Mg 2.60

Properties
Crystal system ... monoclinic

---

(two)
VASP calculation (PBE) on a relaxed MgZr2Zn6 crystal.

Cell: 3.1247 7.5952 7.5952 Å, 120.00 90.00 90.00°
Closest atoms and distances in Å follow each position.
Sites, in units of the cell vectors:
1 Mg 0.0000 0.0000 0.0000  12 Zn 2.98, 2 Mg 3.12
2 Zr 0.0000 0.3333 0.6667  12 Zn 2.97, 2 Zr 3.12
3 Zr 0.0000 0.6667 0.3333  12 Zn 2.97, 2 Zr 3.12
4 Zn 0.5000 0.3338 0.3338  3 Zn 2.52-2.54
5 Zn 0.5000 0.6662 0.6662  3 Zn 2.52-2.54
6 Zn 0.5000 0.0000 0.6662  3 Zn 2.52-2.54
7 Zn 0.5000 0.6662 0.0000  3 Zn 2.52-2.54
8 Zn 0.5000 0.3338 0.0000  3 Zn 2.52-2.54
9 Zn 0.5000 0.0000 0.3338  3 Zn 2.52-2.54

Properties
Crystal system ... hexagonal

---

Tell me which of them is the most stable. Sure, it is (two).

---

(one)
VASP calculation (PBE) on a relaxed Mg6ZrZn crystal.

Cell: 6.4157 6.4157 4.9153 Å, 90.00 90.00 121.76°
Closest atoms and distances in Å follow each position.
Sites, in units of the cell vectors:
1 Mg 0.6634 0.8243 0.0000  8 Mg 3.03-3.25, 2 Zn 3.10-3.31, 2 Zr 3.10
2 Mg 0.1757 0.3366 0.0000  8 Mg 3.03-3.25, 2 Zn 3.10-3.31, 2 Zr 3.10
3 Mg 0.6757 0.3243 0.0000  10 Mg 3.03-3.25, 2 Zn 3.12
4 Mg 0.8307 0.6758 0.5000  8 Mg 3.03-3.28, 2 Zr 3.11-3.30, 2 Zn 3.11
5 Mg 0.3242 0.1693 0.5000  8 Mg 3.03-3.28, 2 Zr 3.11-3.30, 2 Zn 3.11
6 Mg 0.8334 0.1666 0.5000  10 Mg 3.03-3.28, 2 Zr 3.13
7 Zr 0.3187 0.6813 0.5000  2 Zn 2.92, 8 Mg 3.10-3.13
8 Zn 0.1784 0.8216 0.0000  2 Zr 2.92, 8 Mg 3.10-3.12

Properties
Crystal system ... orthorhombic

---

(two)
VASP calculation (PBE) on a relaxed Mg6ZrZn crystal.

Cell: 6.4495 6.4495 4.9346 Å, 90.00 90.00 123.72°
Closest atoms and distances in Å follow each position.
Sites, in units of the cell vectors:
1 Mg 0.8220 0.6749 0.5000  8 Mg 3.02-3.17, 2 Zn 3.08-3.37, 2 Zr 3.20-3.25
2 Mg 0.3251 0.1780 0.5000  8 Mg 3.02-3.17, 2 Zn 3.08-3.37, 2 Zr 3.20-3.25
3 Mg 0.6643 0.8241 0.0000  7 Mg 2.97-3.24, 2 Zn 3.06, 2 Zr 3.09
4 Mg 0.1759 0.3357 0.0000  7 Mg 2.97-3.24, 2 Zn 3.06, 2 Zr 3.09
5 Mg 0.6865 0.3135 0.0000  2 Zn 3.01, 8 Mg 3.05-3.17
6 Mg 0.1670 0.8330 0.0000  2 Zr 3.03, 10 Mg 3.05-3.24
7 Zr 0.3209 0.6791 0.5000  10 Mg 3.03-3.25, 2 Zn 3.05
8 Zn 0.8383 0.1617 0.5000  10 Mg 3.01-3.37, 2 Zr 3.05

Properties
Crystal system ... orthorhombic

---

Tell me which of them is the most stable. Sure, it is (one).